! SiP2RhS | the Alexandria database | PBE | optimized geometry; values from VASP
&SYSTEM
  ibrav = 0, nat = 5, ntyp = 4
/
ATOMIC_SPECIES
P 30.97 P.upf
Si 28.09 Si.upf
S 32.06 S.upf
Rh 102.91 Rh.upf
CELL_PARAMETERS angstrom
-0.244 1.387 4.180
-3.952 -2.372 0.557
2.302 -3.529 1.306
ATOMIC_POSITIONS crystal
P 0.000 0.000 0.500
P 0.500 0.000 0.000
Si 0.000 0.000 0.000
S 0.500 0.500 0.500
Rh 0.000 0.500 0.000
! energy relative to the elements, uncorrected = 0.896 eV per atom
! total energy = -23.24 eV per cell
! offset from the most stable computed form = 144 meV per atom

! Sm4PRhS2 | the Alexandria database | PBE | optimized geometry; values from VASP
&SYSTEM
  ibrav = 0, nat = 8, ntyp = 4
/
ATOMIC_SPECIES
Sm 150.36 Sm.upf
P 30.97 P.upf
S 32.06 S.upf
Rh 102.91 Rh.upf
CELL_PARAMETERS angstrom
4.028 0.000 0.000
0.000 7.108 -0.194
0.000 2.453 6.656
ATOMIC_POSITIONS crystal
Sm 0.500 0.741 0.250
Sm 0.000 0.743 0.753
Sm 0.500 0.259 0.750
Sm 0.000 0.257 0.247
P 0.000 0.500 0.500
S 0.500 0.000 0.500
S 0.000 0.000 0.000
Rh 0.500 0.500 0.000
! energy relative to the elements, uncorrected = -1.527 eV per atom
! total energy = -52.11 eV per cell

! SnPRhS2 | the Alexandria database | PBE | optimized geometry; values from VASP
&SYSTEM
  ibrav = 0, nat = 5, ntyp = 4
/
ATOMIC_SPECIES
S 32.06 S.upf
Sn 118.71 Sn.upf
Rh 102.91 Rh.upf
P 30.97 P.upf
CELL_PARAMETERS angstrom
-1.639 -4.616 -0.756
0.420 -0.943 4.847
-4.063 1.342 0.613
ATOMIC_POSITIONS crystal
S 0.000 0.500 0.000
S 0.500 0.000 0.000
Sn 0.500 0.500 0.500
Rh 0.000 0.000 0.000
P 0.000 0.000 0.500
! energy relative to the elements, uncorrected = 0.218 eV per atom
! total energy = -23.93 eV per cell
! offset from the most stable computed form = 0 meV per atom